The following is a PBE calculation of SbAsCBr2 after structural relaxation, from the Alexandria database. Values from VASP.

Geometry as Quantum ESPRESSO input:
```
&SYSTEM
  ibrav = 0, nat = 5, ntyp = 4
/
ATOMIC_SPECIES
Br 79.90 Br.upf
C 12.01 C.upf
Sb 121.76 Sb.upf
As 74.92 As.upf
CELL_PARAMETERS angstrom
4.677 0.000 0.000
0.000 4.677 0.000
0.000 0.000 4.678
ATOMIC_POSITIONS crystal
Br 0.000 0.500 0.000
Br 0.500 0.000 0.000
C 0.000 0.000 0.000
Sb 0.500 0.500 0.500
As 0.000 0.000 0.500
```

Results
ΔE_f (raw) (eV per atom): 1.10
Final energy (eV for the cell shown): -15.8
Distance to the lowest polymorph of the same formula (meV per atom): 0
Calculated volume (A^3/atom): 20.5
D(E_F) (states/eV/f.u.): 3.6